Density functional theory data (PBE) for crystalline Tb7InRh2 at its relaxed geometry.

Values from the calculation:
- space-group type = Cmmm, No. 65

a = 5.2048 Å, b = 8.1741 Å, c = 8.1741 Å
α = 113.54°, β = 90.00°, γ = 90.00°
Closest atoms and distances in Å follow each position.
Fractional coordinates of all 10 atoms:
Tb1 0.5000 0.5000 0.5000  2 Rh 2.78
Tb2 0.5000 0.3124 0.0563  2 Rh 2.84-3.01
Tb3 0.5000 0.0563 0.3124  2 Rh 2.84-3.01
Tb4 0.5000 0.9437 0.6876  2 Rh 2.84-3.01
Tb5 0.0000 0.2860 0.7140  2 Rh 2.61
Tb6 0.5000 0.6876 0.9437  2 Rh 2.84-3.01
Tb7 0.0000 0.7140 0.2860  2 Rh 2.61
In1 0.0000 0.0000 0.0000  10 Tb 3.55-3.91
Rh1 0.5000 0.2967 0.7033  5 Tb 2.61-2.84
Rh2 0.5000 0.7033 0.2967  5 Tb 2.61-2.84

***

Density functional theory data (PBE) for crystalline Tb8InRh2 at its relaxed geometry.

Values from the calculation:
- space-group type = C2/m, No. 12

a = 5.4551 Å, b = 8.0013 Å, c = 8.0013 Å
α = 114.12°, β = 97.60°, γ = 97.60°
Closest atoms and distances in Å follow each position.
Fractional coordinates of all 11 atoms:
Tb1 0.6951 0.3902 0.3902  2 Rh 3.14, 4 Tb 3.19-3.41, 1 In 3.30
Tb2 0.3049 0.6098 0.6098  2 Rh 3.14, 4 Tb 3.19-3.41, 1 In 3.30
Tb3 0.9292 0.6711 0.9257  2 Rh 2.87-2.92
Tb4 0.9292 0.9257 0.6711  2 Rh 2.87-2.92
Tb5 0.0708 0.0743 0.3289  2 Rh 2.87-2.92
Tb6 0.5000 0.2473 0.7527  2 Rh 2.83
Tb7 0.5000 0.7527 0.2473  2 Rh 2.83
Tb8 0.0708 0.3289 0.0743  2 Rh 2.87-2.92
Rh1 0.0000 0.3040 0.6960  8 Tb 2.83-3.14
Rh2 0.0000 0.6960 0.3040  8 Tb 2.83-3.14
In1 0.5000 0.0000 0.0000  12 Tb 3.30-3.67

***

Density functional theory data (PBE) for crystalline Tb2In3Rh2 at its relaxed geometry.

Values from the calculation:
- space-group type = P2/m, No. 10

a = 3.6196 Å, b = 3.9266 Å, c = 12.6960 Å
α = 90.00°, β = 90.06°, γ = 90.00°
Closest atoms and distances in Å follow each position.
Fractional coordinates of all 7 atoms:
Tb1 0.5006 0.5000 0.1589  4 Rh 2.81
Tb2 0.4994 0.5000 0.8411  4 Rh 2.81
In1 0.0000 0.0000 0.0000  2 Rh 2.88
In2 0.5015 0.0000 0.3880  2 Rh 2.73, 1 In 2.84
In3 0.4985 0.0000 0.6120  2 Rh 2.73, 1 In 2.84
Rh1 0.9993 0.0000 0.7730  3 In 2.73-2.88, 4 Tb 2.81
Rh2 0.0007 0.0000 0.2270  3 In 2.73-2.88, 4 Tb 2.81

***

Density functional theory data (PBE) for crystalline Tb11In9Rh4 at its relaxed geometry.

Values from the calculation:
- space-group type = Cmmm, No. 65

a = 3.7087 Å, b = 13.1494 Å, c = 13.1494 Å
α = 112.47°, β = 90.00°, γ = 90.00°
Closest atoms and distances in Å follow each position.
Fractional coordinates of all 24 atoms:
Tb1 0.0000 0.3118 0.3118  4 Rh 2.93
Tb2 0.0000 0.8383 0.1617  8 In 3.27-3.46, 3 Tb 3.54-3.62
Tb3 0.0000 0.1617 0.8383  8 In 3.27-3.46, 3 Tb 3.54-3.62
Tb4 0.0000 0.0783 0.4163  2 Rh 2.79
Tb5 0.0000 0.9217 0.5837  2 Rh 2.79
Tb6 0.0000 0.0000 0.0000  8 In 3.23, 2 Tb 3.54
Tb7 0.0000 0.5837 0.9217  2 Rh 2.79
Tb8 0.0000 0.4163 0.0783  2 Rh 2.79
Tb9 0.0000 0.6259 0.3741  4 Rh 2.95
Tb10 0.0000 0.3741 0.6259  4 Rh 2.95
Tb11 0.0000 0.6882 0.6882  4 Rh 2.93
In1 0.5000 0.0753 0.2175  1 Rh 3.02, 1 In 3.11, 4 Tb 3.19-3.23
In2 0.5000 0.3677 0.8420  1 Rh 3.05, 1 In 3.07, 4 Tb 3.21-3.27
In3 0.5000 0.6323 0.1580  1 Rh 3.05, 1 In 3.07, 4 Tb 3.21-3.27
In4 0.5000 0.5000 0.5000  4 Rh 3.14, 8 Tb 3.32
In5 0.5000 0.2175 0.0753  1 Rh 3.02, 1 In 3.11, 4 Tb 3.19-3.23
In6 0.5000 0.9247 0.7825  1 Rh 3.02, 1 In 3.11, 4 Tb 3.19-3.23
In7 0.5000 0.1580 0.6323  1 Rh 3.05, 1 In 3.07, 4 Tb 3.21-3.27
In8 0.5000 0.8420 0.3677  1 Rh 3.05, 1 In 3.07, 4 Tb 3.21-3.27
In9 0.5000 0.7825 0.9247  1 Rh 3.02, 1 In 3.11, 4 Tb 3.19-3.23
Rh1 0.5000 0.4489 0.2467  6 Tb 2.79-2.95, 2 In 3.02-3.05
Rh2 0.5000 0.7533 0.5511  6 Tb 2.79-2.95, 2 In 3.02-3.05
Rh3 0.5000 0.5511 0.7533  6 Tb 2.79-2.95, 2 In 3.02-3.05
Rh4 0.5000 0.2467 0.4489  6 Tb 2.79-2.95, 2 In 3.02-3.05

***

Density functional theory data (PBE) for crystalline Tb20In40Rh19 at its relaxed geometry.

Values from the calculation:
- space-group type = P-4m2, No. 115

a = 13.6046 Å, b = 13.6046 Å, c = 9.3828 Å
α = 90.00°, β = 90.00°, γ = 90.00°
Closest atoms and distances in Å follow each position.
Fractional coordinates of all 79 atoms:
Tb1 0.7989 0.2941 0.7339  3 Rh 3.04-3.10, 7 In 3.19-3.38
Tb2 0.5000 0.7219 0.7628  2 Rh 2.97, 6 In 3.12-3.31
Tb3 0.5000 0.0000 0.8447  4 Rh 3.07, 4 In 3.30-3.32
Tb4 0.7219 0.5000 0.2372  2 Rh 2.97, 6 In 3.12-3.31
Tb5 0.7761 0.0000 0.7678  2 Rh 2.96, 4 In 3.12-3.15
Tb6 0.5000 0.2781 0.7628  2 Rh 2.97, 6 In 3.12-3.31
Tb7 0.7989 0.7059 0.7339  3 Rh 3.04-3.10, 7 In 3.19-3.38
Tb8 0.7059 0.7989 0.2661  3 Rh 3.04-3.10, 7 In 3.19-3.38
Tb9 0.2011 0.7059 0.7339  3 Rh 3.04-3.10, 7 In 3.19-3.38
Tb10 0.7059 0.2011 0.2661  3 Rh 3.04-3.10, 7 In 3.19-3.38
Tb11 0.2941 0.2011 0.2661  3 Rh 3.04-3.10, 7 In 3.19-3.38
Tb12 0.0000 0.5000 0.1553  4 Rh 3.07, 4 In 3.30-3.32
Tb13 0.0000 0.7761 0.2322  2 Rh 2.96, 4 In 3.12-3.15
Tb14 0.5000 0.0000 0.3626  4 Rh 3.02-3.06, 4 In 3.32
Tb15 0.2239 0.0000 0.7678  2 Rh 2.96, 4 In 3.12-3.15
Tb16 0.2781 0.5000 0.2372  2 Rh 2.97, 6 In 3.12-3.31
Tb17 0.2011 0.2941 0.7339  3 Rh 3.04-3.10, 7 In 3.19-3.38
Tb18 0.0000 0.5000 0.6374  4 Rh 3.02-3.06, 4 In 3.32
Tb19 0.2941 0.7989 0.2661  3 Rh 3.04-3.10, 7 In 3.19-3.38
Tb20 0.0000 0.2239 0.2322  2 Rh 2.96, 4 In 3.12-3.15
In1 0.8712 0.8712 0.5000  2 Rh 2.81, 2 In 3.02
In2 0.3310 0.0000 0.0975  3 Rh 2.85-2.99
In3 0.3855 0.5000 0.7578  3 Rh 2.72-2.88
In4 0.3690 0.8697 0.5935  3 Rh 2.79-2.91, 2 Tb 3.12
In5 0.5000 0.1700 0.0984  3 Rh 2.84-2.95
In6 0.5000 0.3855 0.2422  3 Rh 2.72-2.88
In7 0.3588 0.3588 0.5000  3 Rh 2.72-2.84
In8 0.0000 0.6690 0.9025  3 Rh 2.85-2.99
In9 0.6412 0.6412 0.5000  3 Rh 2.72-2.84
In10 0.5000 0.6145 0.2422  3 Rh 2.72-2.88
In11 0.1288 0.8712 0.5000  2 Rh 2.81, 2 In 3.02
In12 0.0000 0.3310 0.9025  3 Rh 2.85-2.99
In13 0.6412 0.3588 0.5000  3 Rh 2.72-2.84
In14 0.0000 0.8864 0.7614  2 Rh 2.72, 2 In 3.02
In15 0.3508 0.3508 0.0000  3 Rh 2.79-2.87, 2 In 3.08
In16 0.1502 0.8498 0.0000  3 Rh 2.80-2.89, 2 In 3.07
In17 0.5000 0.8300 0.0984  3 Rh 2.84-2.95
In18 0.6310 0.1303 0.5935  3 Rh 2.79-2.91, 2 Tb 3.12
In19 0.1303 0.3690 0.4065  3 Rh 2.79-2.91, 2 Tb 3.12
In20 0.1136 0.0000 0.2386  2 Rh 2.72, 2 In 3.02
In21 0.1502 0.1502 0.0000  3 Rh 2.80-2.89, 2 In 3.07
In22 0.8498 0.8498 0.0000  3 Rh 2.80-2.89, 2 In 3.07
In23 0.1303 0.6310 0.4065  3 Rh 2.79-2.91, 2 Tb 3.12
In24 0.8712 0.1288 0.5000  2 Rh 2.81, 2 In 3.02
In25 0.3588 0.6412 0.5000  3 Rh 2.72-2.84
In26 0.8697 0.6310 0.4065  3 Rh 2.79-2.91, 2 Tb 3.12
In27 0.6690 0.0000 0.0975  3 Rh 2.85-2.99
In28 0.8300 0.5000 0.9016  3 Rh 2.84-2.95
In29 0.3508 0.6492 0.0000  3 Rh 2.79-2.87, 2 In 3.08
In30 0.1288 0.1288 0.5000  2 Rh 2.81, 2 In 3.02
In31 0.8864 0.0000 0.2386  2 Rh 2.72, 2 In 3.02
In32 0.8697 0.3690 0.4065  3 Rh 2.79-2.91, 2 Tb 3.12
In33 0.6492 0.3508 0.0000  3 Rh 2.79-2.87, 2 In 3.08
In34 0.6145 0.5000 0.7578  3 Rh 2.72-2.88
In35 0.6492 0.6492 0.0000  3 Rh 2.79-2.87, 2 In 3.08
In36 0.3690 0.1303 0.5935  3 Rh 2.79-2.91, 2 Tb 3.12
In37 0.1700 0.5000 0.9016  3 Rh 2.84-2.95
In38 0.0000 0.1136 0.7614  2 Rh 2.72, 2 In 3.02
In39 0.6310 0.8697 0.5935  3 Rh 2.79-2.91, 2 Tb 3.12
In40 0.8498 0.1502 0.0000  3 Rh 2.80-2.89, 2 In 3.07
Rh1 0.5000 0.5000 0.5000  8 In 2.72-2.88
Rh2 0.5000 0.7802 0.4039  6 In 2.72-2.95, 1 Tb 3.02
Rh3 0.0000 0.2769 0.5937  6 In 2.72-2.99, 2 Tb 3.04
Rh4 0.2769 0.0000 0.4063  6 In 2.72-2.99, 2 Tb 3.04
Rh5 0.1580 0.3434 0.1016  5 In 2.79-2.91, 4 Tb 2.96-3.09
Rh6 0.8420 0.6566 0.1016  5 In 2.79-2.91, 4 Tb 2.96-3.09
Rh7 0.5000 0.5000 0.0000  8 In 2.75-2.87
Rh8 0.3434 0.1580 0.8984  5 In 2.79-2.91, 4 Tb 2.96-3.09
Rh9 0.6566 0.1580 0.8984  5 In 2.79-2.91, 4 Tb 2.96-3.09
Rh10 0.3434 0.8420 0.8984  5 In 2.79-2.91, 4 Tb 2.96-3.09
Rh11 0.8420 0.3434 0.1016  5 In 2.79-2.91, 4 Tb 2.96-3.09
Rh12 0.1580 0.6566 0.1016  5 In 2.79-2.91, 4 Tb 2.96-3.09
Rh13 0.2198 0.5000 0.5961  6 In 2.72-2.95, 1 Tb 3.02
Rh14 0.7802 0.5000 0.5961  6 In 2.72-2.95, 1 Tb 3.02
Rh15 0.7231 0.0000 0.4063  6 In 2.72-2.99, 2 Tb 3.04
Rh16 0.6566 0.8420 0.8984  5 In 2.79-2.91, 4 Tb 2.96-3.09
Rh17 0.0000 0.7231 0.5937  6 In 2.72-2.99, 2 Tb 3.04
Rh18 0.5000 0.2198 0.4039  6 In 2.72-2.95, 1 Tb 3.02
Rh19 0.0000 0.0000 0.0000  8 In 2.72-2.89

***

Density functional theory data (PBE) for crystalline Tb3In2Rh3 at its relaxed geometry.

Values from the calculation:
- space-group type = P6_3/mcm, No. 193

a = 5.9152 Å, b = 8.2213 Å, c = 8.2213 Å
α = 120.00°, β = 90.00°, γ = 90.00°
Closest atoms and distances in Å follow each position.
Fractional coordinates of all 16 atoms:
Tb1 0.2500 0.7290 0.0000  3 Rh 2.77-2.86
Tb2 0.7500 0.7290 0.7290  3 Rh 2.77-2.86
Tb3 0.7500 0.0000 0.2710  3 Rh 2.77-2.86
Tb4 0.2500 0.0000 0.7290  3 Rh 2.77-2.86
Tb5 0.7500 0.2710 0.0000  3 Rh 2.77-2.86
Tb6 0.2500 0.2710 0.2710  3 Rh 2.77-2.86
In1 0.0000 0.6667 0.3333  6 Rh 2.93, 2 In 2.96
In2 0.0000 0.3333 0.6667  6 Rh 2.93, 2 In 2.96
In3 0.5000 0.3333 0.6667  6 Rh 2.93, 2 In 2.96
In4 0.5000 0.6667 0.3333  6 Rh 2.93, 2 In 2.96
Rh1 0.7500 0.3922 0.3922  3 Tb 2.77-2.86, 4 In 2.93
Rh2 0.2500 0.6078 0.6078  3 Tb 2.77-2.86, 4 In 2.93
Rh3 0.7500 0.0000 0.6078  3 Tb 2.77-2.86, 4 In 2.93
Rh4 0.2500 0.3922 0.0000  3 Tb 2.77-2.86, 4 In 2.93
Rh5 0.2500 0.0000 0.3922  3 Tb 2.77-2.86, 4 In 2.93
Rh6 0.7500 0.6078 0.0000  3 Tb 2.77-2.86, 4 In 2.93

***

Density functional theory data (PBE) for crystalline Tb4In5Rh2 at its relaxed geometry.

Values from the calculation:
- space-group type = P2/m, No. 10

a = 3.6345 Å, b = 7.7166 Å, c = 9.6678 Å
α = 94.27°, β = 90.00°, γ = 90.00°
Closest atoms and distances in Å follow each position.
Fractional coordinates of all 11 atoms:
Tb1 0.5000 0.8254 0.1494  2 Rh 2.78
Tb2 0.5000 0.7817 0.5569  4 Rh 2.92-2.97
Tb3 0.5000 0.1746 0.8506  2 Rh 2.78
Tb4 0.5000 0.2183 0.4431  4 Rh 2.92-2.97
In1 0.0000 0.5000 0.0000  4 In 2.98-3.14, 4 Tb 3.34
In2 0.0000 0.5472 0.3249  1 Rh 2.91, 2 In 3.14-3.21
In3 0.0000 0.1762 0.1506  1 Rh 2.89, 2 In 2.98-3.21
In4 0.0000 0.4528 0.6751  1 Rh 2.91, 2 In 3.14-3.21
In5 0.0000 0.8238 0.8494  1 Rh 2.89, 2 In 2.98-3.21
Rh1 0.0000 0.0746 0.6415  6 Tb 2.78-2.97, 1 Rh 2.89, 2 In 2.89-2.91
Rh2 0.0000 0.9254 0.3585  6 Tb 2.78-2.97, 1 Rh 2.89, 2 In 2.89-2.91

***

Final energy for the records above, in order: -5.236; -5.321; -5.066; -5.046; -4.936; -5.867; -4.871 eV/atom
DFT formation energy for the records above, in order: -24.19; -35.50; -45.26; -64.85; -58.81; -66.53; -58.50 kJ per mole of atoms